No. 1
First-principles (PBE) data for crystalline CsKTc3 at its relaxed geometry, as listed in Alexandria.

Lattice parameters (Å, degrees): 5.1388 5.1388 5.1388 90.00 90.00 90.00
Space group Pm-3m (No. 221)
One atom of each set of equivalent atoms:
Cs 0.0000 0.0000 0.0000
K 0.5000 0.5000 0.5000
Tc 0.0000 0.0000 0.5000

**Formation energy**: 2.92 eV per atom
**DOS(E_F)**: 3.5 states/eV/cell
**Size of the total moment**: 6.66 Bohr magnetons per cell
**Energy**: -3.687 eV per atom

---

No. 2
First-principles (PBE) data for crystalline SmEuMgAl at its relaxed geometry, as listed in Alexandria.

Lattice parameters (Å, degrees): 7.6182 7.6182 7.6182 90.00 90.00 90.00
Space group F-43m (No. 216)
One atom of each set of equivalent atoms:
Sm 0.0000 0.0000 0.0000
Eu 0.0000 0.0000 0.5000
Mg 0.2500 0.2500 0.2500
Al 0.2500 0.2500 0.7500

**Formation energy**: -0.19 eV per atom
**DOS(E_F)**: 25.5 states/eV/cell
**Size of the total moment**: 29.46 Bohr magnetons per cell
**Energy**: -5.276 eV per atom

---

No. 3
First-principles (PBE) data for crystalline LiTl2Ni at its relaxed geometry, as listed in Alexandria.

Lattice parameters (Å, degrees): 3.4966 3.4966 6.3927 90.00 90.00 90.00
Space group P4mm (No. 99)
One atom of each set of equivalent atoms:
Li 0.0000 0.0000 0.0000
Tl 0.0000 0.0000 0.4118
Tl 0.5000 0.5000 0.7712
Ni 0.5000 0.5000 0.2030

**Formation energy**: 0.10 eV per atom
**DOS(E_F)**: 1.6 states/eV/cell
**Size of the total moment**: 0.00 Bohr magnetons per cell
**Energy**: -3.010 eV per atom

---

No. 4
First-principles (PBE) data for crystalline Pr2BiSb3Pt4 at its relaxed geometry, as listed in Alexandria.

Lattice parameters (Å, degrees): 4.6793 4.6793 10.8477 90.00 90.00 90.00
Space group P-4m2 (No. 115)
One atom of each set of equivalent atoms:
Pr 0.0000 0.5000 0.2257
Bi 0.0000 0.0000 0.5000
Sb 0.0000 0.5000 0.8755
Sb 0.5000 0.5000 0.5000
Pt 0.0000 0.0000 0.0000
Pt 0.0000 0.5000 0.6376
Pt 0.5000 0.5000 0.0000

**Uncorrected formation energy**: -7.72 eV/f.u.
**DOS(E_F)**: 3.9 states/eV/cell
**Size of the total moment**: 0.00 Bohr magnetons per cell
**Energy**: -5.769 eV per atom